[1]
# In3BiSb

Crystalline In3BiSb at its relaxed geometry (PBE, Alexandria via LeMat-Bulk).

```
5
Lattice="5.6700 0.0000 0.0000 0.0000 5.6700 0.0000 0.0000 0.0000 5.6700" Properties=species:S:1:pos:R:3 pbc="T T T"
Sb 0.0000 0.0000 0.0000
Bi 2.8350 2.8350 2.8350
In 0.0000 2.8350 0.0000
In 0.0000 0.0000 2.8350
In 2.8350 0.0000 0.0000
```

Results
The energy above the most stable polymorph in this dataset comes out at 0 meV/atom. The space group is Pm-3m, No. 221. The value obtained for the uncorrected formation energy is 0.4094 eV/atom.

=====

[2]
# In6Bi2Sb

Crystalline In6Bi2Sb at its relaxed geometry (PBE, Alexandria via LeMat-Bulk).

```
18
Lattice="6.7654 0.0000 0.0000 0.0000 6.7654 0.0000 0.0000 0.0000 15.8655" Properties=species:S:1:pos:R:3 pbc="T T T"
In 2.1841 2.1841 5.3481
In 4.5813 4.5813 5.3481
In 1.1986 5.5668 13.2808
In 5.5668 1.1986 13.2808
In 1.1986 5.5668 2.5847
In 5.5668 1.1986 2.5847
In 2.1841 2.1841 10.5175
In 4.5813 4.5813 10.5175
In 2.1424 2.1424 0.0000
In 4.6230 4.6230 0.0000
In 1.2403 5.5251 7.9328
In 5.5251 1.2403 7.9328
Bi 0.0000 0.0000 5.2813
Bi 3.3827 3.3827 13.2141
Bi 3.3827 3.3827 2.6514
Bi 0.0000 0.0000 10.5842
Sb 0.0000 0.0000 0.0000
Sb 3.3827 3.3827 7.9328
```

Results
The space group is P4_2/mnm, No. 136. The value obtained for the uncorrected formation energy is 0.2538 eV/atom.

=====

[3]
# In2BiSb

Crystalline In2BiSb at its relaxed geometry (PBE, Alexandria via LeMat-Bulk).

```
4
Lattice="4.4851 0.0000 0.0000 2.2426 3.8843 0.0000 2.2426 1.2948 7.1452" Properties=species:S:1:pos:R:3 pbc="T T T"
In 2.2426 1.2948 5.4677
In 2.2426 1.2948 1.6887
Bi 4.4851 2.5895 3.5893
Sb 6.7277 3.8842 7.1173
```

Results
The energy above the most stable polymorph in this dataset comes out at 117 meV/atom. The space group is R3m, No. 160. The value obtained for the uncorrected formation energy is 0.0670 eV/atom.

=====

| no. | VASP energy (eV/cell) | M_tot (μB/atom) |
| --- | --- | --- |
| 1 | -14.2 | 0.000 |
| 2 | -52.1 | 0.000 |
| 3 | -13.2 | 0.000 |